## La2PtAu (PBE)

Data for La2PtAu after structural relaxation.

abc: 4.3345 4.3345 6.1135
angles: 90.00 90.00 90.00
With the nearest neighbours (Å) after each atom.
Fractional coordinates of all 4 atoms:
La (0.0000, 0.0000, 0.0000)  2 Pt 3.06, 4 Au 3.06
La (0.5000, 0.5000, 0.5000)  2 Au 3.06, 4 Pt 3.06
Pt (0.0000, 0.0000, 0.5000)  6 La 3.06
Au (0.5000, 0.5000, 0.0000)  6 La 3.06

Computed properties:
- calculated formation energy (eV per atom) = -0.94